No. 1
Here is crystalline Li3HfSi at its relaxed geometry from the Alexandria database. Energies are from PBE-GGA.

Computed properties:
size of the total moment = 0.4404 μB per atom
crystal system = cubic
E_form (uncorrected) = 1543.0 meV/atom

a b c (Å): 5.076 5.076 5.076
angles (deg): 90.00 90.00 90.00
Each line ends with the local moment (μB).
Sites, in units of the cell vectors:
Si  0.500  0.500  0.500  -0.06
Li  0.000  0.000  0.500  0.04
Li  0.500  0.000  0.000  0.06
Li  0.000  0.500  0.000  0.05
Hf  0.000  0.000  0.000  1.42


No. 2
Here is crystalline ZnInFe at its relaxed geometry from the Alexandria database. Energies are from PBE-GGA.

Computed properties:
size of the total moment = 0.6761 μB per atom
crystal system = trigonal
E_form = 0.3064 eV/atom

a b c (Å): 4.376 4.376 2.924
angles (deg): 90.00 90.00 120.00
Each line ends with the local moment (μB).
Sites, in units of the cell vectors:
Zn  0.333  0.667  0.734  -0.05
In  0.667  0.333  0.352  -0.08
Fe  0.000  0.000  0.914  2.19